[1]
Below is an optimized crystal structure of IrPdSe2, with properties calculated at the PBE level.

Calculated values
Calculated volume ... 21.82 Å³ per atom
Calculated total energy ... -5.324 eV/atom

POSCAR file:
```
IrPdSe2
1.0
2.123 0.000 7.454
-1.062 1.839 7.454
-1.062 -1.839 7.454
Ir Se Pd
1 2 1
direct
0.500 0.500 0.500
0.892 0.892 0.892
0.108 0.108 0.108
0.000 0.000 0.000
```

***

[2]
Below is an optimized crystal structure of IrPd3Se, with properties calculated at the PBE level.

Calculated values
Energy relative to the lowest polymorph listed for this composition ... 0.0 kJ/mol of atoms
Calculated volume ... 19.48 Å³ per atom
Calculated total energy ... -4.757 eV/atom

POSCAR file:
```
IrPd3Se
1.0
4.601 0.000 0.000
0.000 4.601 0.000
0.000 0.000 4.601
Pd Se Ir
3 1 1
direct
0.000 0.500 0.000
0.500 0.000 0.000
0.000 0.000 0.500
0.000 0.000 0.000
0.500 0.500 0.500
```

***

[3]
Below is an optimized crystal structure of IrPdSe4, with properties calculated at the PBE level.

Calculated values
Calculated volume ... 20.82 Å³ per atom
Calculated total energy ... -4.959 eV/atom

POSCAR file:
```
IrPdSe4
1.0
3.782 0.000 0.000
0.000 5.039 0.273
0.000 -0.739 6.514
Se Pd Ir
4 1 1
direct
0.000 0.736 0.637
0.500 0.245 0.841
0.000 0.264 0.363
0.500 0.755 0.159
0.000 0.000 0.000
0.500 0.000 0.500
```

***

[4]
Below is an optimized crystal structure of Ir2PdSe6, with properties calculated at the PBE level.

Calculated values
Calculated volume ... 20.62 Å³ per atom
Calculated total energy ... -5.130 eV/atom

POSCAR file:
```
Ir2PdSe6
1.0
-1.063 -3.283 3.720
8.262 -6.747 -3.594
2.167 7.968 7.650
Se Ir Pd
18 6 3
direct
0.270 0.579 0.789
0.270 0.211 0.789
0.724 0.455 0.545
0.744 0.114 0.228
0.730 0.421 0.211
0.256 0.886 0.772
0.256 0.228 0.114
0.730 0.789 0.211
0.276 0.545 0.455
0.724 0.455 0.911
0.276 0.911 0.455
0.270 0.211 0.421
0.730 0.789 0.579
0.744 0.772 0.886
0.256 0.886 0.114
0.276 0.545 0.089
0.724 0.089 0.545
0.744 0.114 0.886
0.000 0.000 0.664
0.000 0.664 0.664
0.000 0.000 0.336
0.000 0.336 0.336
0.000 0.664 0.000
0.000 0.336 0.000
0.495 0.333 0.667
0.000 0.000 0.000
0.505 0.667 0.333
```

***

[5]
Below is an optimized crystal structure of Ir2PdSe2, with properties calculated at the PBE level.

Calculated values
Energy relative to the lowest polymorph listed for this composition ... 9.3 kJ/mol of atoms
Calculated volume ... 18.24 Å³ per atom
Calculated total energy ... -5.517 eV/atom

POSCAR file:
```
Ir2PdSe2
1.0
-0.938 -1.388 -3.725
3.727 -1.637 -0.328
-0.455 -6.165 0.173
Pd Se Ir
1 2 2
direct
0.000 0.000 0.000
0.250 0.750 0.500
0.750 0.250 0.500
0.616 0.616 0.767
0.384 0.384 0.233
```

***

[6]
Below is an optimized crystal structure of Ir2PdSe2, with properties calculated at the PBE level.

Calculated values
Energy relative to the lowest polymorph listed for this composition ... 0.0 kJ/mol of atoms
Calculated volume ... 16.57 Å³ per atom
Calculated total energy ... -5.614 eV/atom

POSCAR file:
```
Ir2PdSe2
1.0
7.352 0.000 0.000
0.000 7.352 0.000
0.000 0.000 3.065
Se Pd Ir
4 2 4
direct
0.164 0.664 0.500
0.664 0.836 0.500
0.336 0.164 0.500
0.836 0.336 0.500
0.500 0.500 0.000
0.000 0.000 0.000
0.364 0.864 0.000
0.636 0.136 0.000
0.864 0.636 0.000
0.136 0.364 0.000
```